# 1
Computed, not measured: a relaxed structure of La4Al3AgO12 at the PBE-GGA level of DFT.

Calculated values
ΔE_f (raw): -2.770 eV/atom

Lattice parameters (Å, degrees): 6.7431 6.7431 6.7431 109.47 109.47 109.47
Site moments in Bohr magnetons follow the coordinates.
Positions (direct):
La1 0.5000 0.5000 0.5000  -0.01
La2 0.0000 0.0000 0.5000  -0.01
La3 0.5000 0.0000 0.0000  -0.01
La4 0.0000 0.5000 0.0000  -0.01
Al1 0.5000 0.0000 0.5000  0.02
Al2 0.5000 0.5000 0.0000  0.02
Al3 0.0000 0.5000 0.5000  0.02
Ag1 0.0000 0.0000 0.0000  0.79
O1 0.2500 0.5000 0.7500  0.03
O2 0.7338 0.0000 0.7338  0.15
O3 0.2662 0.0000 0.2662  0.15
O4 0.7500 0.5000 0.2500  0.03
O5 0.7338 0.7338 0.0000  0.15
O6 0.2662 0.2662 0.0000  0.15
O7 0.7500 0.2500 0.5000  0.03
O8 0.2500 0.7500 0.5000  0.03
O9 0.5000 0.2500 0.7500  0.03
O10 0.0000 0.7338 0.7338  0.15
O11 0.5000 0.7500 0.2500  0.03
O12 0.0000 0.2662 0.2662  0.15



# 2
Computed, not measured: a relaxed structure of LaAl4AgPd2 at the PBE-GGA level of DFT.

Calculated values
energy relative to the elements: -0.571 eV/atom
Fermi-level density of states: 0.451 states/eV per atom

Lattice parameters (Å, degrees): 4.3351 4.3351 9.6186 76.98 76.98 60.00
Positions (direct):
La1 0.0000 0.0000 0.0000
Al1 0.4045 0.4045 0.7864
Al2 0.8732 0.8732 0.3805
Al3 0.1268 0.1268 0.6195
Al4 0.5955 0.5955 0.2136
Ag1 0.5000 0.5000 0.5000
Pd1 0.7653 0.7653 0.7042
Pd2 0.2347 0.2347 0.2958



# 3
Computed, not measured: a relaxed structure of LaAl4Ag2Pd at the PBE-GGA level of DFT.

Calculated values
energy relative to the elements: -0.405 eV/atom
Fermi-level density of states: 0.456 states/eV per atom

Lattice parameters (Å, degrees): 4.4086 4.4086 9.5186 76.61 76.61 60.00
Positions (direct):
La1 0.0000 0.0000 0.0000
Al1 0.4052 0.4052 0.7843
Al2 0.8667 0.8667 0.3998
Al3 0.1333 0.1333 0.6002
Al4 0.5948 0.5948 0.2157
Ag1 0.7598 0.7598 0.7207
Ag2 0.2402 0.2402 0.2793
Pd1 0.5000 0.5000 0.5000



# 4
Computed, not measured: a relaxed structure of La2Al4AgPd3 at the PBE-GGA level of DFT.

Calculated values
energy relative to the elements: -0.737 eV/atom
Fermi-level density of states: 0.958 states/eV per atom

Lattice parameters (Å, degrees): 4.3807 4.3807 10.6075 90.00 90.00 90.00
Positions (direct):
La1 0.5000 0.0000 0.2428
La2 0.0000 0.5000 0.7572
Al1 0.5000 0.5000 0.0000
Al2 0.0000 0.0000 0.0000
Al3 0.5000 0.0000 0.6316
Al4 0.0000 0.5000 0.3684
Ag1 0.5000 0.5000 0.5000
Pd1 0.0000 0.0000 0.5000
Pd2 0.5000 0.0000 0.8714
Pd3 0.0000 0.5000 0.1286



# 5
Computed, not measured: a relaxed structure of La5Pr2AlAg2 at the PBE-GGA level of DFT.

Calculated values
energy relative to the elements: -0.165 eV/atom
Fermi-level density of states: 1.047 states/eV per atom

Lattice parameters (Å, degrees): 3.9656 12.8050 12.8050 90.00 90.00 90.00
Positions (direct):
La1 0.5000 0.1930 0.0532
La2 0.5000 0.8070 0.9468
La3 0.5000 0.0532 0.8070
La4 0.5000 0.6930 0.4468
La5 0.5000 0.9468 0.1930
La6 0.5000 0.3070 0.5532
La7 0.5000 0.5532 0.6930
La8 0.5000 0.4468 0.3070
La9 0.5000 0.5000 0.0000
La10 0.5000 0.0000 0.5000
Pr1 0.0000 0.6800 0.1800
Pr2 0.0000 0.3200 0.8200
Pr3 0.0000 0.1800 0.3200
Pr4 0.0000 0.8200 0.6800
Al1 0.0000 0.0000 0.0000
Al2 0.0000 0.5000 0.5000
Ag1 0.0000 0.1320 0.6320
Ag2 0.0000 0.8680 0.3680
Ag3 0.0000 0.6320 0.8680
Ag4 0.0000 0.3680 0.1320



# 6
Computed, not measured: a relaxed structure of La2Al4AgPt3 at the PBE-GGA level of DFT.

Calculated values
energy relative to the elements: -0.957 eV/atom
Fermi-level density of states: 0.763 states/eV per atom

Lattice parameters (Å, degrees): 4.3578 4.3578 10.5885 90.00 90.00 90.00
Positions (direct):
La1 0.5000 0.0000 0.2423
La2 0.0000 0.5000 0.7577
Al1 0.5000 0.5000 0.0000
Al2 0.0000 0.0000 0.0000
Al3 0.5000 0.0000 0.6320
Al4 0.0000 0.5000 0.3680
Ag1 0.5000 0.5000 0.5000
Pt1 0.0000 0.0000 0.5000
Pt2 0.5000 0.0000 0.8702
Pt3 0.0000 0.5000 0.1298



# 7
Computed, not measured: a relaxed structure of La2Al12AgPt3 at the PBE-GGA level of DFT.

Calculated values
energy relative to the elements: -0.171 eV/atom
Fermi-level density of states: 0.607 states/eV per atom

Lattice parameters (Å, degrees): 7.9485 7.9485 7.9485 69.08 69.08 69.08
Positions (direct):
La1 0.5953 0.5953 0.5953
La2 0.4047 0.4047 0.4047
Al1 0.2599 0.2599 0.8613
Al2 0.8617 0.8617 0.3675
Al3 0.3675 0.8617 0.8617
Al4 0.8613 0.2599 0.2599
Al5 0.8617 0.3675 0.8617
Al6 0.2599 0.8613 0.2599
Al7 0.7401 0.7401 0.1387
Al8 0.1383 0.1383 0.6325
Al9 0.6325 0.1383 0.1383
Al10 0.1387 0.7401 0.7401
Al11 0.1383 0.6325 0.1383
Al12 0.7401 0.1387 0.7401
Ag1 0.0000 0.0000 0.0000
Pt1 0.5000 0.0000 0.0000
Pt2 0.0000 0.5000 0.0000
Pt3 0.0000 0.0000 0.5000



# 8
Computed, not measured: a relaxed structure of LaAl4AgPt2 at the PBE-GGA level of DFT.

Calculated values
energy relative to the elements: -0.705 eV/atom
Fermi-level density of states: 0.462 states/eV per atom

Lattice parameters (Å, degrees): 4.3123 4.3123 9.6209 77.05 77.05 60.00
Positions (direct):
La1 0.0000 0.0000 0.0000
Al1 0.4044 0.4044 0.7867
Al2 0.8727 0.8727 0.3818
Al3 0.1273 0.1273 0.6182
Al4 0.5956 0.5956 0.2133
Ag1 0.5000 0.5000 0.5000
Pt1 0.7628 0.7628 0.7117
Pt2 0.2372 0.2372 0.2883



# 9
Computed, not measured: a relaxed structure of LaAlAg2S4 at the PBE-GGA level of DFT.

Calculated values
Fermi-level density of states: 0.010 states/eV per atom
ΔE_f (raw): -0.897 eV/atom

Lattice parameters (Å, degrees): 8.1828 8.1828 8.0938 123.11 123.11 89.40
Positions (direct):
La1 0.0000 0.5000 0.0000
La2 0.0000 0.5000 0.5000
Al1 0.5000 0.5000 0.5000
Al2 0.0000 0.0000 0.0000
Ag1 0.5000 0.0000 0.0000
Ag2 0.5000 0.0000 0.5000
Ag3 0.0000 0.0000 0.5000
Ag4 0.5000 0.5000 0.0000
S1 0.2217 0.7982 0.0254
S2 0.7018 0.2783 0.4746
S3 0.2982 0.7217 0.5254
S4 0.7783 0.2018 0.9746
S5 0.8060 0.8070 0.0262
S6 0.6930 0.6940 0.4738
S7 0.3070 0.3060 0.5262
S8 0.1940 0.1930 0.9738



# 10
Computed, not measured: a relaxed structure of La2AlAgSe5 at the PBE-GGA level of DFT.

Calculated values
ΔE_f (raw): -1.370 eV/atom

Lattice parameters (Å, degrees): 4.1249 9.4376 11.9546 90.00 90.00 102.62
Positions (direct):
La1 0.8742 0.7484 0.8000
La2 0.1214 0.2428 0.6828
La3 0.1258 0.2516 0.3000
La4 0.8786 0.7572 0.1828
Al1 0.5709 0.1417 0.9524
Al2 0.4291 0.8583 0.4524
Ag1 0.7743 0.5487 0.5257
Ag2 0.2257 0.4513 0.0257
Se1 0.3680 0.7361 0.9957
Se2 0.6850 0.3699 0.8561
Se3 0.5039 0.0079 0.7775
Se4 0.2920 0.5840 0.6761
Se5 0.9587 0.9174 0.5577
Se6 0.6320 0.2639 0.4957
Se7 0.3150 0.6301 0.3561
Se8 0.4961 0.9921 0.2775
Se9 0.7080 0.4160 0.1761
Se10 0.0413 0.0826 0.0577



# 11
Computed, not measured: a relaxed structure of La2Al4Si3Ag at the PBE-GGA level of DFT.

Calculated values
Fermi-level density of states: 0.468 states/eV per atom
ΔE_f (raw): -0.354 eV/atom

Lattice parameters (Å, degrees): 4.2129 4.2129 11.2386 90.00 90.00 90.00
Positions (direct):
La1 0.5000 0.0000 0.2471
La2 0.0000 0.5000 0.7529
Al1 0.5000 0.5000 0.0000
Al2 0.0000 0.0000 0.0000
Al3 0.5000 0.0000 0.6348
Al4 0.0000 0.5000 0.3652
Si1 0.0000 0.0000 0.5000
Si2 0.5000 0.0000 0.8611
Si3 0.0000 0.5000 0.1389
Ag1 0.5000 0.5000 0.5000



# 12
Computed, not measured: a relaxed structure of LaSmAlAg at the PBE-GGA level of DFT.

Calculated values
energy relative to the elements: -0.325 eV/atom
relative energy among the computed polymorphs: 0 meV per atom
Fermi-level density of states: 1.008 states/eV per atom

Lattice parameters (Å, degrees): 3.6790 3.6790 7.8202 90.00 90.00 90.00
Positions (direct):
La1 0.0000 0.0000 0.8659
Sm1 0.0000 0.0000 0.3564
Al1 0.5000 0.5000 0.1197
Ag1 0.5000 0.5000 0.5860



Please write out number 2 again, unchanged.
Computed, not measured: a relaxed structure of LaAl4AgPd2 at the PBE-GGA level of DFT.

Calculated values
energy relative to the elements: -0.571 eV/atom
Fermi-level density of states: 0.451 states/eV per atom

Lattice parameters (Å, degrees): 4.3351 4.3351 9.6186 76.98 76.98 60.00
Positions (direct):
La1 0.0000 0.0000 0.0000
Al1 0.4045 0.4045 0.7864
Al2 0.8732 0.8732 0.3805
Al3 0.1268 0.1268 0.6195
Al4 0.5955 0.5955 0.2136
Ag1 0.5000 0.5000 0.5000
Pd1 0.7653 0.7653 0.7042
Pd2 0.2347 0.2347 0.2958